A plane-wave DFT calculation with PBE with a Hubbard U was carried out for a geometry-optimized BaPaFeO6 structure.

The structure in extended XYZ format:
```
9
Lattice="4.873 0.000 0.000 0.000 5.800 0.000 0.000 -2.900 5.023" Properties=species:S:1:pos:R:3 pbc="T T T"
Ba 2.436 2.900 1.674
Pa 0.000 0.000 3.349
Fe 2.436 0.000 0.000
O 3.611 1.738 3.796
O 3.611 -1.256 4.630
O 3.611 -0.482 1.620
O 1.262 0.482 1.620
O 1.262 1.256 4.630
O 1.262 -1.738 3.796
```

Calculated values
For the mass density, the calculation gives 6.1 Mg/m³. For the electronic total energy, the calculation gives -65.940 eV per formula unit. As for the space group: No. 149. Its total magnetic moment is 7.05 μB/f.u.